# 1
# Al2CoOs (GGA-PBE, optimized geometry)
data_Al2CoOs
_space_group_name_H-M_alt 'F -4 3 m'
_space_group_IT_number 216
_space_group_name_Hall 'F -4 2 3'
_cell_length_a 5.9562
_cell_length_b 5.9562
_cell_length_c 5.9562
_cell_angle_alpha 90.00
_cell_angle_beta 90.00
_cell_angle_gamma 90.00
loop_
_atom_site_label
_atom_site_type_symbol
_atom_site_fract_x
_atom_site_fract_y
_atom_site_fract_z
_atom_site_occupancy
Al1 Al 0.0000 0.0000 0.0000 1
Al2 Al 0.2500 0.2500 0.2500 1
Co1 Co 0.2500 0.2500 0.7500 1
Os1 Os 0.0000 0.0000 0.5000 1
# * total DFT energy (no corrections): -6.55 eV/atom
# * V: 52.83 Å³/f.u.

# 2
# AlCoOs2 (GGA-PBE, optimized geometry)
data_AlCoOs2
_space_group_name_H-M_alt 'F -4 3 m'
_space_group_IT_number 216
_space_group_name_Hall 'F -4 2 3'
_cell_length_a 5.9973
_cell_length_b 5.9973
_cell_length_c 5.9973
_cell_angle_alpha 90.00
_cell_angle_beta 90.00
_cell_angle_gamma 90.00
loop_
_atom_site_label
_atom_site_type_symbol
_atom_site_fract_x
_atom_site_fract_y
_atom_site_fract_z
_atom_site_occupancy
Al1 Al 0.0000 0.0000 0.0000 1
Co1 Co 0.2500 0.2500 0.2500 1
Os1 Os 0.0000 0.0000 0.5000 1
Os2 Os 0.2500 0.2500 0.7500 1
# * total DFT energy (no corrections): -8.26 eV/atom
# * V: 53.93 Å³/f.u.

# 3
# AlCoOsPd (GGA-PBE, optimized geometry)
data_AlCoOsPd
_space_group_name_H-M_alt 'F -4 3 m'
_space_group_IT_number 216
_space_group_name_Hall 'F -4 2 3'
_cell_length_a 6.0408
_cell_length_b 6.0408
_cell_length_c 6.0408
_cell_angle_alpha 90.00
_cell_angle_beta 90.00
_cell_angle_gamma 90.00
loop_
_atom_site_label
_atom_site_type_symbol
_atom_site_fract_x
_atom_site_fract_y
_atom_site_fract_z
_atom_site_occupancy
Al1 Al 0.0000 0.0000 0.0000 1
Co1 Co 0.2500 0.2500 0.2500 1
Os1 Os 0.2500 0.2500 0.7500 1
Pd1 Pd 0.0000 0.0000 0.5000 1
# * total DFT energy (no corrections): -6.75 eV/atom
# * V: 55.11 Å³/f.u.

# 4
# AlCoOsPt (GGA-PBE, optimized geometry)
data_AlCoOsPt
_space_group_name_H-M_alt 'F -4 3 m'
_space_group_IT_number 216
_space_group_name_Hall 'F -4 2 3'
_cell_length_a 6.0572
_cell_length_b 6.0572
_cell_length_c 6.0572
_cell_angle_alpha 90.00
_cell_angle_beta 90.00
_cell_angle_gamma 90.00
loop_
_atom_site_label
_atom_site_type_symbol
_atom_site_fract_x
_atom_site_fract_y
_atom_site_fract_z
_atom_site_occupancy
Al1 Al 0.0000 0.0000 0.0000 1
Co1 Co 0.2500 0.2500 0.2500 1
Os1 Os 0.2500 0.2500 0.7500 1
Pt1 Pt 0.0000 0.0000 0.5000 1
# * total DFT energy (no corrections): -7.04 eV/atom
# * V: 55.56 Å³/f.u.

# 5
# AlCoReOs (GGA-PBE, optimized geometry)
data_AlCoReOs
_space_group_name_H-M_alt 'F -4 3 m'
_space_group_IT_number 216
_space_group_name_Hall 'F -4 2 3'
_cell_length_a 6.0192
_cell_length_b 6.0192
_cell_length_c 6.0192
_cell_angle_alpha 90.00
_cell_angle_beta 90.00
_cell_angle_gamma 90.00
loop_
_atom_site_label
_atom_site_type_symbol
_atom_site_fract_x
_atom_site_fract_y
_atom_site_fract_z
_atom_site_occupancy
Al1 Al 0.0000 0.0000 0.0000 1
Co1 Co 0.2500 0.2500 0.2500 1
Re1 Re 0.0000 0.0000 0.5000 1
Os1 Os 0.2500 0.2500 0.7500 1
# * total DFT energy (no corrections): -8.70 eV/atom
# * V: 54.52 Å³/f.u.

# 6
# YAlCoOs (GGA-PBE, optimized geometry)
data_YAlCoOs
_space_group_name_H-M_alt 'F -4 3 m'
_space_group_IT_number 216
_space_group_name_Hall 'F -4 2 3'
_cell_length_a 6.4770
_cell_length_b 6.4770
_cell_length_c 6.4770
_cell_angle_alpha 90.00
_cell_angle_beta 90.00
_cell_angle_gamma 90.00
loop_
_atom_site_label
_atom_site_type_symbol
_atom_site_fract_x
_atom_site_fract_y
_atom_site_fract_z
_atom_site_occupancy
Y1 Y 0.0000 0.0000 0.0000 1
Al1 Al 0.2500 0.2500 0.2500 1
Co1 Co 0.0000 0.0000 0.5000 1
Os1 Os 0.2500 0.2500 0.7500 1
# * total DFT energy (no corrections): -6.87 eV/atom
# * V: 67.93 Å³/f.u.

# 7
# YAlCoOs (GGA-PBE, optimized geometry)
data_YAlCoOs
_space_group_name_H-M_alt 'F -4 3 m'
_space_group_IT_number 216
_space_group_name_Hall 'F -4 2 3'
_cell_length_a 6.3628
_cell_length_b 6.3628
_cell_length_c 6.3628
_cell_angle_alpha 90.00
_cell_angle_beta 90.00
_cell_angle_gamma 90.00
loop_
_atom_site_label
_atom_site_type_symbol
_atom_site_fract_x
_atom_site_fract_y
_atom_site_fract_z
_atom_site_occupancy
Y1 Y 0.0000 0.0000 0.0000 1
Al1 Al 0.0000 0.0000 0.5000 1
Co1 Co 0.2500 0.2500 0.7500 1
Os1 Os 0.2500 0.2500 0.2500 1
# * total DFT energy (no corrections): -7.24 eV/atom
# * V: 64.40 Å³/f.u.

# 8
# AlZnCoOs (GGA-PBE, optimized geometry)
data_AlZnCoOs
_space_group_name_H-M_alt 'F -4 3 m'
_space_group_IT_number 216
_space_group_name_Hall 'F -4 2 3'
_cell_length_a 5.9161
_cell_length_b 5.9161
_cell_length_c 5.9161
_cell_angle_alpha 90.00
_cell_angle_beta 90.00
_cell_angle_gamma 90.00
loop_
_atom_site_label
_atom_site_type_symbol
_atom_site_fract_x
_atom_site_fract_y
_atom_site_fract_z
_atom_site_occupancy
Al1 Al 0.0000 0.0000 0.0000 1
Zn1 Zn 0.0000 0.0000 0.5000 1
Co1 Co 0.2500 0.2500 0.2500 1
Os1 Os 0.2500 0.2500 0.7500 1
# * total DFT energy (no corrections): -5.93 eV/atom
# * V: 51.77 Å³/f.u.

# 9
# AlZnCoOs (GGA-PBE, optimized geometry)
data_AlZnCoOs
_space_group_name_H-M_alt 'F -4 3 m'
_space_group_IT_number 216
_space_group_name_Hall 'F -4 2 3'
_cell_length_a 5.9559
_cell_length_b 5.9559
_cell_length_c 5.9559
_cell_angle_alpha 90.00
_cell_angle_beta 90.00
_cell_angle_gamma 90.00
loop_
_atom_site_label
_atom_site_type_symbol
_atom_site_fract_x
_atom_site_fract_y
_atom_site_fract_z
_atom_site_occupancy
Al1 Al 0.0000 0.0000 0.0000 1
Zn1 Zn 0.2500 0.2500 0.7500 1
Co1 Co 0.2500 0.2500 0.2500 1
Os1 Os 0.0000 0.0000 0.5000 1
# * total DFT energy (no corrections): -5.77 eV/atom
# * V: 52.82 Å³/f.u.

# 10
# ZrAlCoOs (GGA-PBE, optimized geometry)
data_ZrAlCoOs
_space_group_name_H-M_alt 'F -4 3 m'
_space_group_IT_number 216
_space_group_name_Hall 'F -4 2 3'
_cell_length_a 6.2947
_cell_length_b 6.2947
_cell_length_c 6.2947
_cell_angle_alpha 90.00
_cell_angle_beta 90.00
_cell_angle_gamma 90.00
loop_
_atom_site_label
_atom_site_type_symbol
_atom_site_fract_x
_atom_site_fract_y
_atom_site_fract_z
_atom_site_occupancy
Zr1 Zr 0.0000 0.0000 0.0000 1
Al1 Al 0.2500 0.2500 0.2500 1
Co1 Co 0.0000 0.0000 0.5000 1
Os1 Os 0.2500 0.2500 0.7500 1
# * total DFT energy (no corrections): -7.63 eV/atom
# * V: 62.36 Å³/f.u.

# 11
# ZrAlCoOs (GGA-PBE, optimized geometry)
data_ZrAlCoOs
_space_group_name_H-M_alt 'F -4 3 m'
_space_group_IT_number 216
_space_group_name_Hall 'F -4 2 3'
_cell_length_a 6.2135
_cell_length_b 6.2135
_cell_length_c 6.2135
_cell_angle_alpha 90.00
_cell_angle_beta 90.00
_cell_angle_gamma 90.00
loop_
_atom_site_label
_atom_site_type_symbol
_atom_site_fract_x
_atom_site_fract_y
_atom_site_fract_z
_atom_site_occupancy
Zr1 Zr 0.0000 0.0000 0.0000 1
Al1 Al 0.0000 0.0000 0.5000 1
Co1 Co 0.2500 0.2500 0.7500 1
Os1 Os 0.2500 0.2500 0.2500 1
# * total DFT energy (no corrections): -8.13 eV/atom
# * V: 59.97 Å³/f.u.

# 12
# AlCoP6 (GGA-PBE, optimized geometry)
data_AlCoP6
_space_group_name_H-M_alt 'F -4 3 m'
_space_group_IT_number 216
_space_group_name_Hall 'F -4 2 3'
_cell_length_a 8.0774
_cell_length_b 8.0774
_cell_length_c 8.0774
_cell_angle_alpha 90.00
_cell_angle_beta 90.00
_cell_angle_gamma 90.00
loop_
_atom_site_label
_atom_site_type_symbol
_atom_site_fract_x
_atom_site_fract_y
_atom_site_fract_z
_atom_site_occupancy
Al1 Al 0.0000 0.0000 0.0000 1
Co1 Co 0.2500 0.2500 0.2500 1
P1 P 0.0285 0.2500 0.7500 1
# * total DFT energy (no corrections): -4.98 eV/atom
# * V: 131.75 Å³/f.u.

# 13
# AlCoPb (GGA-PBE, optimized geometry)
data_AlCoPb
_space_group_name_H-M_alt 'F -4 3 m'
_space_group_IT_number 216
_space_group_name_Hall 'F -4 2 3'
_cell_length_a 6.3038
_cell_length_b 6.3038
_cell_length_c 6.3038
_cell_angle_alpha 90.00
_cell_angle_beta 90.00
_cell_angle_gamma 90.00
loop_
_atom_site_label
_atom_site_type_symbol
_atom_site_fract_x
_atom_site_fract_y
_atom_site_fract_z
_atom_site_occupancy
Al1 Al 0.0000 0.0000 0.0000 1
Co1 Co 0.0000 0.0000 0.5000 1
Pb1 Pb 0.2500 0.2500 0.2500 1
# * total DFT energy (no corrections): -4.11 eV/atom
# * V: 62.62 Å³/f.u.

# 14
# AlCoPb2 (GGA-PBE, optimized geometry)
data_AlCoPb2
_space_group_name_H-M_alt 'F -4 3 m'
_space_group_IT_number 216
_space_group_name_Hall 'F -4 2 3'
_cell_length_a 7.0471
_cell_length_b 7.0471
_cell_length_c 7.0471
_cell_angle_alpha 90.00
_cell_angle_beta 90.00
_cell_angle_gamma 90.00
loop_
_atom_site_label
_atom_site_type_symbol
_atom_site_fract_x
_atom_site_fract_y
_atom_site_fract_z
_atom_site_occupancy
Al1 Al 0.0000 0.0000 0.0000 1
Co1 Co 0.2500 0.2500 0.2500 1
Pb1 Pb 0.0000 0.0000 0.5000 1
Pb2 Pb 0.2500 0.2500 0.7500 1
# * total DFT energy (no corrections): -3.93 eV/atom
# * V: 87.49 Å³/f.u.